! Cr2PtBr, optimized geometry, DFT PBE; values from VASP
! - uncorrected formation energy (eV/atom) = 0.2420
! - space group = Cmm2, No. 35
! - D(E_F) (states/eV per atom) = 1.114
&SYSTEM
  ibrav = 0, nat = 4, ntyp = 3
/
ATOMIC_SPECIES
Cr 52.00 Cr.upf
Pt 195.08 Pt.upf
Br 79.90 Br.upf
CELL_PARAMETERS angstrom
2.3437 -2.3490 0.0000
2.3437 2.3490 0.0000
0.0000 0.0000 6.6830
ATOMIC_POSITIONS crystal
Cr 0.0000 0.0000 0.0000
Cr 0.5000 0.5000 0.2207
Pt 0.5000 0.5000 0.8337
Br 0.0000 0.0000 0.4482


! Al2PdI, optimized geometry, DFT PBE; values from VASP
! - uncorrected formation energy (eV/atom) = -0.0414
! - space group = I-42d, No. 122
! - D(E_F) (states/eV per atom) = 0.394
&SYSTEM
  ibrav = 0, nat = 8, ntyp = 3
/
ATOMIC_SPECIES
Al 26.98 Al.upf
Pd 106.42 Pd.upf
I 126.90 I.upf
CELL_PARAMETERS angstrom
-3.0534 3.0534 6.4061
3.0534 -3.0534 6.4061
3.0534 3.0534 -6.4061
ATOMIC_POSITIONS crystal
Al 0.0246 0.6250 0.8996
Al 0.3750 0.2746 0.3996
Al 0.7254 0.1250 0.1004
Al 0.8750 0.9754 0.6004
Pd 0.0000 0.0000 0.0000
Pd 0.7500 0.2500 0.5000
I 0.2500 0.7500 0.5000
I 0.5000 0.5000 0.0000


! Mg2ZnTcO6, optimized geometry, DFT PBE; values from VASP
! - uncorrected formation energy (eV/atom) = -1.8508
! - space group = R3, No. 146
! - D(E_F) (states/eV per atom) = 0.418
&SYSTEM
  ibrav = 0, nat = 10, ntyp = 4
/
ATOMIC_SPECIES
Mg 24.30 Mg.upf
Zn 65.41 Zn.upf
Tc 98.00 Tc.upf
O 16.00 O.upf
CELL_PARAMETERS angstrom
2.6131 1.5087 4.7746
-2.6131 1.5087 4.7746
0.0000 -3.0174 4.7746
ATOMIC_POSITIONS crystal
Mg 0.0000 0.0000 0.0000
Mg 0.4995 0.4995 0.4995
Zn 0.7483 0.7483 0.7483
Tc 0.2011 0.2011 0.2011
O 0.1136 0.8073 0.3877
O 0.2679 0.5707 0.9359
O 0.3877 0.1136 0.8073
O 0.5707 0.9359 0.2679
O 0.8073 0.3877 0.1136
O 0.9359 0.2679 0.5707


! CaCdRe2, optimized geometry, DFT PBE; values from VASP
! - formation energy from the elements (eV/atom) = 0.544
! - space group = Imm2, No. 44
! - D(E_F) (states/eV per atom) = 0.361
&SYSTEM
  ibrav = 0, nat = 4, ntyp = 3
/
ATOMIC_SPECIES
Ca 40.08 Ca.upf
Cd 112.41 Cd.upf
Re 186.21 Re.upf
CELL_PARAMETERS angstrom
-2.1663 2.4637 3.5519
2.1663 -2.4637 3.5519
2.1663 2.4637 -3.5519
ATOMIC_POSITIONS crystal
Ca 0.0000 0.0000 0.0000
Cd 0.7292 0.2292 0.5000
Re 0.2714 0.7714 0.5000
Re 0.4579 0.4579 0.0000


! Dy7Ir4Pd, optimized geometry, DFT PBE; values from VASP
! - formation energy from the elements (eV/atom) = -0.621
! - space group = C2/m, No. 12
! - D(E_F) (states/eV per atom) = 0.605
&SYSTEM
  ibrav = 0, nat = 12, ntyp = 3
/
ATOMIC_SPECIES
Dy 162.50 Dy.upf
Ir 192.22 Ir.upf
Pd 106.42 Pd.upf
CELL_PARAMETERS angstrom
7.0036 -2.5587 0.0000
7.0036 2.5587 0.0000
-5.9928 0.0000 7.9876
ATOMIC_POSITIONS crystal
Dy 0.0000 0.0000 0.0000
Dy 0.1623 0.1623 0.6072
Dy 0.2882 0.2882 0.1314
Dy 0.4217 0.4217 0.6651
Dy 0.5783 0.5783 0.3349
Dy 0.7118 0.7118 0.8686
Dy 0.8377 0.8377 0.3928
Ir 0.0698 0.0698 0.7827
Ir 0.2108 0.2108 0.3460
Ir 0.7892 0.7892 0.6540
Ir 0.9302 0.9302 0.2173
Pd 0.5000 0.5000 0.0000


! Ag3PF, optimized geometry, DFT PBE; values from VASP
! - uncorrected formation energy (eV/atom) = -0.0231
! - space group = Pm-3m, No. 221
! - D(E_F) (states/eV per atom) = 1.812
&SYSTEM
  ibrav = 0, nat = 5, ntyp = 3
/
ATOMIC_SPECIES
Ag 107.87 Ag.upf
P 30.97 P.upf
F 19.00 F.upf
CELL_PARAMETERS angstrom
4.7503 0.0000 0.0000
0.0000 4.7503 0.0000
0.0000 0.0000 4.7503
ATOMIC_POSITIONS crystal
Ag 0.0000 0.0000 0.5000
Ag 0.0000 0.5000 0.0000
Ag 0.5000 0.0000 0.0000
P 0.0000 0.0000 0.0000
F 0.5000 0.5000 0.5000


! Pm6P3Se2, optimized geometry, DFT PBE; values from VASP
! - uncorrected formation energy (eV/atom) = -1.5768
! - space group = C2/m, No. 12
! - D(E_F) (states/eV per atom) = 0.517
&SYSTEM
  ibrav = 0, nat = 11, ntyp = 3
/
ATOMIC_SPECIES
Pm 145.00 Pm.upf
P 30.97 P.upf
Se 78.96 Se.upf
CELL_PARAMETERS angstrom
3.5718 -6.1751 0.0000
3.5718 6.1751 0.0000
-2.3902 0.0000 6.8235
ATOMIC_POSITIONS crystal
Pm 0.0751 0.4114 0.2346
Pm 0.2529 0.2529 0.7707
Pm 0.4114 0.0751 0.2346
Pm 0.5886 0.9249 0.7654
Pm 0.7471 0.7471 0.2293
Pm 0.9249 0.5886 0.7654
P 0.0000 0.0000 0.0000
P 0.3311 0.6689 0.0000
P 0.6689 0.3311 0.0000
Se 0.1658 0.8342 0.5000
Se 0.8342 0.1658 0.5000


! BaCaAl2Si2, optimized geometry, DFT PBE; values from VASP
! - uncorrected formation energy (eV/atom) = -0.2497
! - space group = P-3m1, No. 164
! - D(E_F) (states/eV per atom) = 0.386
&SYSTEM
  ibrav = 0, nat = 6, ntyp = 4
/
ATOMIC_SPECIES
Ba 137.33 Ba.upf
Ca 40.08 Ca.upf
Al 26.98 Al.upf
Si 28.09 Si.upf
CELL_PARAMETERS angstrom
4.6526 0.0000 0.0000
-2.3263 4.0292 0.0000
0.0000 0.0000 7.6163
ATOMIC_POSITIONS crystal
Ba 0.0000 0.0000 0.0000
Ca 0.0000 0.0000 0.5000
Al 0.3333 0.6667 0.6781
Al 0.6667 0.3333 0.3219
Si 0.3333 0.6667 0.3020
Si 0.6667 0.3333 0.6980


! BPt, optimized geometry, DFT PBE; values from VASP
! - formation energy from the elements (eV/atom) = -0.054
! - space group = F-43m, No. 216
! - D(E_F) (states/eV per atom) = 0.278
&SYSTEM
  ibrav = 0, nat = 2, ntyp = 2
/
ATOMIC_SPECIES
B 10.81 B.upf
Pt 195.08 Pt.upf
CELL_PARAMETERS angstrom
0.0000 2.4002 2.4002
2.4002 0.0000 2.4002
2.4002 2.4002 0.0000
ATOMIC_POSITIONS crystal
B 0.0000 0.0000 0.0000
Pt 0.2500 0.2500 0.2500


! Re2B2Pt, optimized geometry, DFT PBE; values from VASP
! - formation energy from the elements (eV/atom) = -0.019
! - space group = P4/mbm, No. 127
! - D(E_F) (states/eV per atom) = 0.592
&SYSTEM
  ibrav = 0, nat = 10, ntyp = 3
/
ATOMIC_SPECIES
Re 186.21 Re.upf
B 10.81 B.upf
Pt 195.08 Pt.upf
CELL_PARAMETERS angstrom
5.5610 0.0000 0.0000
0.0000 5.5610 0.0000
0.0000 0.0000 3.6593
ATOMIC_POSITIONS crystal
Re 0.1781 0.3219 0.0000
Re 0.3219 0.8219 0.0000
Re 0.6781 0.1781 0.0000
Re 0.8219 0.6781 0.0000
B 0.1118 0.6118 0.5000
B 0.3882 0.1118 0.5000
B 0.6118 0.8882 0.5000
B 0.8882 0.3882 0.5000
Pt 0.0000 0.0000 0.5000
Pt 0.5000 0.5000 0.5000


! RbReAs2Pt, optimized geometry, DFT PBE; values from VASP
! - formation energy from the elements (eV/atom) = 1.446
! - space group = P4/mmm, No. 123
! - D(E_F) (states/eV per atom) = 1.027
&SYSTEM
  ibrav = 0, nat = 5, ntyp = 4
/
ATOMIC_SPECIES
Rb 85.47 Rb.upf
Re 186.21 Re.upf
As 74.92 As.upf
Pt 195.08 Pt.upf
CELL_PARAMETERS angstrom
4.9212 0.0000 0.0000
0.0000 4.9212 0.0000
0.0000 0.0000 5.8202
ATOMIC_POSITIONS crystal
Rb 0.0000 0.0000 0.0000
Re 0.5000 0.5000 0.0000
As 0.0000 0.5000 0.5000
As 0.5000 0.0000 0.5000
Pt 0.0000 0.0000 0.5000


! YCd3Hg3, optimized geometry, DFT PBE; values from VASP
! - formation energy from the elements (eV/atom) = -0.153
! - space group = P6_3/m, No. 176
! - D(E_F) (states/eV per atom) = 0.410
&SYSTEM
  ibrav = 0, nat = 14, ntyp = 3
/
ATOMIC_SPECIES
Y 88.91 Y.upf
Cd 112.41 Cd.upf
Hg 200.59 Hg.upf
CELL_PARAMETERS angstrom
8.6520 0.0000 0.0000
-4.3260 7.4928 0.0000
0.0000 0.0000 5.1617
ATOMIC_POSITIONS crystal
Y 0.3333 0.6667 0.2500
Y 0.6667 0.3333 0.7500
Cd 0.0416 0.2324 0.2500
Cd 0.1908 0.9584 0.2500
Cd 0.2324 0.1908 0.7500
Cd 0.7676 0.8092 0.2500
Cd 0.8092 0.0416 0.7500
Cd 0.9584 0.7676 0.7500
Hg 0.0919 0.4728 0.7500
Hg 0.3809 0.9081 0.7500
Hg 0.4728 0.3809 0.2500
Hg 0.5272 0.6191 0.7500
Hg 0.6191 0.0919 0.2500
Hg 0.9081 0.5272 0.2500


Number 1: V 74 Å³/f.u., mass density 8.55 g cm⁻³, DFT total energy -26.0 eV per cell. Number 2: V 119 Å³/f.u., mass density 3.99 g cm⁻³, DFT total energy -28.8 eV per cell. Number 3: V 113 Å³/f.u., mass density 4.53 g cm⁻³, DFT total energy -63.1 eV per cell. Number 4: V 76 Å³/f.u., mass density 11.49 g cm⁻³, DFT total energy -25.6 eV per cell. Number 5: V 286 Å³/f.u., mass density 11.68 g cm⁻³, DFT total energy -80.3 eV per cell. Number 6: V 107 Å³/f.u., mass density 5.79 g cm⁻³, DFT total energy -16.0 eV per cell. Number 7: V 301 Å³/f.u., mass density 6.18 g cm⁻³, DFT total energy -69.0 eV per cell. Number 8: V 143 Å³/f.u., mass density 3.34 g cm⁻³, DFT total energy -23.8 eV per cell. Number 9: V 28 Å³/f.u., mass density 12.36 g cm⁻³, DFT total energy -12.8 eV per cell. Number 10: V 57 Å³/f.u., mass density 17.29 g cm⁻³, DFT total energy -88.8 eV per cell. Number 11: V 141 Å³/f.u., mass density 7.26 g cm⁻³, DFT total energy -21.5 eV per cell. Number 12: V 167 Å³/f.u., mass density 10.20 g cm⁻³, DFT total energy -22.4 eV per cell.